No. 1
Computed, not measured: crystalline MgAlPd at its relaxed geometry at the PBE-GGA level of DFT.

Calculated values
Energy in eV per atom: -4.147
N(E_F) in states/eV/cell: 1.45
ΔE_f in eV/atom: -0.64

Lattice parameters (Å, degrees): 5.176 5.176 5.176 94.62 119.21 115.56
Sites, in units of the cell vectors:
Mg1 0.250 0.116 0.866
Mg2 0.750 0.884 0.134
Al1 0.500 0.500 0.500
Al2 0.000 0.500 0.000
Pd1 0.000 0.500 0.500
Pd2 0.500 0.000 0.500

No. 2
Computed, not measured: crystalline Tb3Cd at its relaxed geometry at the PBE-GGA level of DFT.

Calculated values
Energy in eV per atom: -3.845
N(E_F) in states/eV/cell: 3.85
ΔE to the lowest computed polymorph in eV/atom: 0.000
ΔE_f in eV/atom: -0.14

Lattice parameters (Å, degrees): 3.820 5.396 6.594 114.15 106.84 90.00
Sites, in units of the cell vectors:
Tb1 0.276 0.693 0.552
Tb2 0.500 0.417 0.000
Tb3 0.724 0.141 0.448
Cd1 0.000 0.917 0.000